! CoAsNO (PBE+U, optimized geometry); values from VASP
&SYSTEM
  ibrav = 0, nat = 8, ntyp = 4
/
ATOMIC_SPECIES
Co 58.93 Co.upf
As 74.92 As.upf
N 14.01 N.upf
O 16.00 O.upf
ATOMIC_POSITIONS crystal
Co 0.0000 0.2122 0.0000
Co 0.0000 0.7878 0.5000
As 0.5000 0.2787 0.4571
As 0.5000 0.7213 0.9571
N 0.5000 0.3946 0.0978
N 0.5000 0.6054 0.5978
O 0.0000 0.1545 0.6476
O 0.0000 0.8455 0.1476
CELL_PARAMETERS angstrom
3.4570 0.0000 0.0000
0.0000 5.1992 0.0000
0.0000 0.0000 5.4716
! Symmetry = Pmc2_1
! Excess energy over the best structure of this formula in the dataset = 203 meV per atom